1.
The following is a GGA-PBE calculation of a relaxed structure of NbPHO5, from Alexandria.

- Space-group type: P-1 (2)
- Offset from the most stable computed form: 0.599 eV per atom
- Crystal system: triclinic
- N(E_F): 0.04 states/eV per atom

Geometry as POSCAR:
```
NbPHO5
1.0
5.6260 0.0000 0.0000
2.5020 5.1618 0.0000
0.2875 1.2922 6.5762
Nb P H O
2 2 2 10
Direct
0.0000 0.0000 0.0000 Nb
0.5000 0.5000 0.5000 Nb
0.0726 0.4021 0.2724 P
0.9274 0.5979 0.7276 P
0.1978 0.2115 0.4461 H
0.8022 0.7885 0.5539 H
0.1369 0.2410 0.1001 O
0.2008 0.6075 0.2425 O
0.2256 0.4439 0.6925 O
0.2701 0.8985 0.8230 O
0.3555 0.8461 0.5499 O
0.6445 0.1539 0.4501 O
0.7299 0.1015 0.1770 O
0.7744 0.5561 0.3075 O
0.7992 0.3925 0.7575 O
0.8631 0.7590 0.8999 O
```



2.
The following is a GGA-PBE calculation of a relaxed structure of CePrCu10, from Alexandria.

- Space-group type: Pmmm (47)
- Energy of formation from the pure elements: -0.1285 eV per atom
- Crystal system: orthorhombic
- N(E_F): 1.04 states/eV per atom

Geometry as POSCAR:
```
CePrCu10
1.0
4.1196 0.0000 0.0000
0.0000 5.1407 0.0000
0.0000 0.0000 8.8436
Ce Pr Cu
1 1 10
Direct
0.0000 0.0000 0.0000 Ce
0.0000 0.5000 0.5000 Pr
0.0000 0.0000 0.3314 Cu
0.0000 0.0000 0.6686 Cu
0.0000 0.5000 0.1643 Cu
0.0000 0.5000 0.8357 Cu
0.5000 0.0000 0.5000 Cu
0.5000 0.2490 0.2487 Cu
0.5000 0.2490 0.7513 Cu
0.5000 0.5000 0.0000 Cu
0.5000 0.7510 0.2487 Cu
0.5000 0.7510 0.7513 Cu
```



3.
The following is a GGA-PBE calculation of a relaxed structure of Y2CoSe, from Alexandria.

- Space-group type: Imm2 (44)
- Formation energy from raw total energies: -244 kJ/mol of formula units
- Crystal system: orthorhombic
- N(E_F): 0.53 states/eV per atom

Geometry as POSCAR:
```
Y2CoSe
1.0
-1.8128 2.0719 5.6925
1.8128 -2.0719 5.6925
1.8128 2.0719 -5.6925
Y Co Se
2 1 1
Direct
0.0000 0.0000 0.0000 Y
0.7296 0.2296 0.5000 Y
0.2457 0.7457 0.5000 Co
0.4157 0.4157 0.0000 Se
```